Record 1
Material: CsSmTeO4
Method: DFT, PBE
State: relaxed

* formation energy without anion corrections: -2.019 eV per atom
* raw total energy: -6.10 eV/atom

abc: 6.0109 6.3036 8.9144
angles: 90.00 115.26 90.00
Closest atoms and distances in Å follow each position.
Fractional positions:
Cs (0.4756, 0.7500, 0.8636)  6 O 3.12-3.27
Cs (0.5244, 0.2500, 0.1364)  6 O 3.12-3.27
O (0.5343, 0.2500, 0.7892)  1 Te 2.06, 1 Sm 2.30
O (0.0034, 0.9834, 0.3411)  1 Te 2.03
O (0.0034, 0.5166, 0.3411)  1 Te 2.03
O (0.9966, 0.0166, 0.6589)  1 Te 2.03
O (0.4657, 0.7500, 0.2108)  1 Te 2.06, 1 Sm 2.30
O (0.9966, 0.4834, 0.6589)  1 Te 2.03
O (0.4254, 0.7500, 0.4970)  1 Te 1.93
O (0.5746, 0.2500, 0.5030)  1 Te 1.93
Te (0.8269, 0.2500, 0.7273)  4 O 1.93-2.06
Te (0.1731, 0.7500, 0.2727)  4 O 1.93-2.06
Sm (0.2022, 0.2500, 0.5339)  6 O 2.30-2.47
Sm (0.7978, 0.7500, 0.4661)  6 O 2.30-2.47



Record 2
Material: NaBiI2O
Method: DFT, PBE
State: relaxed

* offset from the most stable computed form: 0.000 eV/atom
* formation energy without anion corrections: -0.700 eV per atom
* raw total energy: -3.35 eV/atom

abc: 6.3494 6.3494 4.3793
angles: 90.00 90.00 90.00
Closest atoms and distances in Å follow each position.
Fractional positions:
Na (0.5000, 0.5000, 0.5000)  8 I 3.86
O (0.0000, 0.0000, 0.5000)  2 Bi 2.19
I (0.0000, 0.5000, 0.0000)  2 Bi 3.17
I (0.5000, 0.0000, 0.0000)  2 Bi 3.17
Bi (0.0000, 0.0000, 0.0000)  2 O 2.19



Record 3
Material: Hf3TeOs
Method: DFT, PBE
State: relaxed

* formation energy without anion corrections: 0.148 eV per atom
* raw total energy: -8.70 eV/atom

abc: 5.0478 5.0478 5.0478
angles: 90.00 90.00 90.00
Closest atoms and distances in Å follow each position.
Fractional positions:
Os (0.0000, 0.0000, 0.0000)  6 Hf 2.52
Te (0.5000, 0.5000, 0.5000)  12 Hf 3.57
Hf (0.0000, 0.0000, 0.5000)  2 Os 2.52
Hf (0.0000, 0.5000, 0.0000)  2 Os 2.52
Hf (0.5000, 0.0000, 0.0000)  2 Os 2.52



Record 4
Material: K2YAg
Method: DFT, PBE
State: relaxed

* offset from the most stable computed form: 0.093 eV/atom
* ΔE_f: 0.18 eV per atom
* raw total energy: -2.70 eV/atom

abc: 12.0524 12.0524 12.0524
angles: 19.71 19.71 19.71
Closest atoms and distances in Å follow each position.
Fractional positions:
Ag (0.7601, 0.7601, 0.7601)  3 Y 2.93
K (0.2409, 0.2409, 0.2409)  6 K 4.13, 3 Y 4.25
K (0.0239, 0.0239, 0.0239)  3 Ag 3.43
Y (0.4751, 0.4751, 0.4751)  3 Ag 2.93



Record 5
Material: TlCd3Hg
Method: DFT, PBE
State: relaxed

* offset from the most stable computed form: 0.000 eV/atom
* ΔE_f: 0.04 eV per atom
* raw total energy: -1.04 eV/atom

abc: 5.9265 6.0583 7.7815
angles: 90.00 110.55 90.00
Closest atoms and distances in Å follow each position.
Fractional positions:
Cd (0.7020, 0.1896, 0.4689)  4 Cd 2.93-3.13, 2 Hg 3.03-3.11
Cd (0.8729, 0.4476, 0.2001)  1 Hg 2.94, 2 Cd 3.06
Cd (0.7020, 0.7057, 0.4689)  4 Cd 2.93-3.13, 2 Hg 3.03-3.11
Cd (0.3323, 0.6896, 0.0917)  4 Cd 2.93-3.13, 2 Hg 3.03-3.11
Cd (0.1614, 0.9476, 0.3605)  1 Hg 2.94, 2 Cd 3.06
Cd (0.3323, 0.2057, 0.0917)  4 Cd 2.93-3.13, 2 Hg 3.03-3.11
Tl (0.7318, 0.9476, 0.9323)  4 Hg 3.24-3.35, 5 Cd 3.41-3.60
Tl (0.3025, 0.4476, 0.6283)  4 Hg 3.24-3.35, 5 Cd 3.41-3.60
Hg (0.8828, 0.4476, 0.8250)  5 Cd 2.94-3.11, 1 Tl 3.24
Hg (0.1515, 0.9476, 0.7356)  5 Cd 2.94-3.11, 1 Tl 3.24



Record 6
Material: Ho2PuAl2Ru5
Method: DFT, PBE
State: relaxed

* ΔE_f: -0.43 eV per atom
* raw total energy: -8.16 eV/atom

abc: 3.3705 10.1520 10.1520
angles: 90.00 90.00 90.00
Closest atoms and distances in Å follow each position.
Fractional positions:
Ru (0.5000, 0.9320, 0.2011)  2 Al 2.50, 2 Pu 2.74
Ru (0.5000, 0.0680, 0.7989)  2 Al 2.50, 2 Pu 2.74
Ru (0.5000, 0.2011, 0.0680)  2 Al 2.50, 2 Pu 2.74
Ru (0.5000, 0.5680, 0.7011)  2 Al 2.50, 2 Pu 2.74
Ru (0.5000, 0.0000, 0.5000)  4 Al 2.48
Ru (0.5000, 0.2989, 0.5680)  2 Al 2.50, 2 Pu 2.74
Ru (0.5000, 0.7989, 0.9320)  2 Al 2.50, 2 Pu 2.74
Ru (0.5000, 0.5000, 0.0000)  4 Al 2.48
Ru (0.5000, 0.4320, 0.2989)  2 Al 2.50, 2 Pu 2.74
Ru (0.5000, 0.7011, 0.4320)  2 Al 2.50, 2 Pu 2.74
Pu (0.0000, 0.0000, 0.0000)  8 Ru 2.74
Pu (0.0000, 0.5000, 0.5000)  8 Ru 2.74
Al (0.0000, 0.3737, 0.1263)  6 Ru 2.48-2.50
Al (0.0000, 0.6263, 0.8737)  6 Ru 2.48-2.50
Al (0.0000, 0.1263, 0.6263)  6 Ru 2.48-2.50
Al (0.0000, 0.8737, 0.3737)  6 Ru 2.48-2.50
Ho (0.0000, 0.3298, 0.8298)  3 Al 2.92-3.04, 10 Ru 2.97-3.22
Ho (0.0000, 0.1702, 0.3298)  3 Al 2.92-3.04, 10 Ru 2.97-3.22
Ho (0.0000, 0.8298, 0.6702)  3 Al 2.92-3.04, 10 Ru 2.97-3.22
Ho (0.0000, 0.6702, 0.1702)  3 Al 2.92-3.04, 10 Ru 2.97-3.22



Record 7
Material: Na2LiAg2
Method: DFT, PBE
State: relaxed

* offset from the most stable computed form: 0.000 eV/atom
* ΔE_f: -0.07 eV per atom
* raw total energy: -2.12 eV/atom

abc: 4.5380 5.6374 5.8672
angles: 118.71 112.75 90.00
Closest atoms and distances in Å follow each position.
Fractional positions:
Na (0.8021, 0.3021, 0.6043)  6 Ag 3.14-3.23, 2 Li 3.36
Na (0.1979, 0.6979, 0.3957)  6 Ag 3.14-3.23, 2 Li 3.36
Li (0.0000, 0.0000, 0.0000)  4 Ag 2.68
Ag (0.5000, 0.2545, 0.0000)  2 Li 2.68, 2 Ag 2.77-2.87
Ag (0.5000, 0.7455, 0.0000)  2 Li 2.68, 2 Ag 2.77-2.87



Record 8
Material: Cu2NiRu
Method: DFT, PBE
State: relaxed

* offset from the most stable computed form: 0.108 eV/atom
* ΔE_f: 0.23 eV per atom
* raw total energy: -5.59 eV/atom

abc: 2.5484 2.5484 8.5854
angles: 90.00 90.00 116.06
Closest atoms and distances in Å follow each position.
Fractional positions:
Cu (0.0000, 0.0000, 0.0082)  8 Cu 2.50-2.70, 2 Ru 2.64
Cu (0.5000, 0.5000, 0.2535)  2 Ni 2.47, 8 Cu 2.50-2.70
Ni (0.0000, 0.0000, 0.4946)  2 Cu 2.47, 2 Ru 2.53, 6 Ni 2.55-2.70
Ru (0.5000, 0.5000, 0.7438)  2 Ni 2.53, 6 Ru 2.55-2.70, 2 Cu 2.64



Q: Look up the raw total energy of the first one.
A: -6.10 eV/atom



Q: Which value of raw total energy does entry 4 give?
A: -2.70 eV/atom